No. 1
# CuBSe3 (GGA-PBE, relaxed)
# Spin magnetization: 0.0 μB per cell
# Energy relative to the elements, uncorrected: 0.85 eV per atom
data_CuBSe3
_chemical_formula_sum 'Cu1 B1 Se3'
_cell_length_a 4.455
_cell_length_b 4.455
_cell_length_c 4.455
_cell_angle_alpha 90.00
_cell_angle_beta 90.00
_cell_angle_gamma 90.00
_symmetry_space_group_name_H-M 'P m -3 m'
_symmetry_Int_Tables_number 221
_symmetry_space_group_name_Hall '-P 4 2 3'
loop_
_atom_site_label
_atom_site_type_symbol
_atom_site_fract_x
_atom_site_fract_y
_atom_site_fract_z
Cu1 Cu 0.000 0.000 0.000
B1 B 0.500 0.500 0.500
Se1 Se 0.000 0.500 0.500

---

No. 2
# CdInP2 (GGA-PBE, relaxed)
# Energy of formation from the pure elements: 0.11 eV per atom
# Spin magnetization: 0.0 μB per cell
data_CdInP2
_chemical_formula_sum 'Cd1 In1 P2'
_cell_length_a 3.408
_cell_length_b 3.408
_cell_length_c 7.322
_cell_angle_alpha 90.00
_cell_angle_beta 90.00
_cell_angle_gamma 90.00
_symmetry_space_group_name_H-M 'P 4 m m'
_symmetry_Int_Tables_number 99
_symmetry_space_group_name_Hall 'P 4 -2'
loop_
_atom_site_label
_atom_site_type_symbol
_atom_site_fract_x
_atom_site_fract_y
_atom_site_fract_z
Cd1 Cd 0.000 0.000 0.000
In1 In 0.500 0.500 0.247
P1 P 0.000 0.000 0.651
P2 P 0.500 0.500 0.600

---

No. 3
# SrCaTb2Tl4 (GGA-PBE, relaxed)
# Energy of formation from the pure elements: -0.35 eV per atom
# Spin magnetization: 0.0 μB per cell
data_SrCaTb2Tl4
_chemical_formula_sum 'Sr3 Ca3 Tb6 Tl12'
_cell_length_a 5.5052
_cell_length_b 5.5052
_cell_length_c 27.0696
_cell_angle_alpha 90.00
_cell_angle_beta 90.00
_cell_angle_gamma 120.00
_symmetry_space_group_name_H-M 'R -3 m'
_symmetry_Int_Tables_number 166
_symmetry_space_group_name_Hall '-R 3 2"'
loop_
_atom_site_label
_atom_site_type_symbol
_atom_site_fract_x
_atom_site_fract_y
_atom_site_fract_z
Sr1 Sr 0.0000 0.0000 0.0000
Ca1 Ca 0.0000 0.0000 0.5000
Tb1 Tb 0.0000 0.0000 0.2482
Tl1 Tl 0.0000 0.0000 0.1266
Tl2 Tl 0.0000 0.0000 0.3769

---

No. 4
# K2ScAuCl6 (GGA-PBE, relaxed)
# Spin magnetization: 0.0 μB per cell
# Energy relative to the elements, uncorrected: -1.59 eV per atom
data_K2ScAuCl6
_chemical_formula_sum 'K8 Sc4 Au4 Cl24'
_cell_length_a 10.433
_cell_length_b 10.433
_cell_length_c 10.433
_cell_angle_alpha 90.00
_cell_angle_beta 90.00
_cell_angle_gamma 90.00
_symmetry_space_group_name_H-M 'F m -3 m'
_symmetry_Int_Tables_number 225
_symmetry_space_group_name_Hall '-F 4 2 3'
loop_
_atom_site_label
_atom_site_type_symbol
_atom_site_fract_x
_atom_site_fract_y
_atom_site_fract_z
K1 K 0.250 0.250 0.250
Sc1 Sc 0.000 0.000 0.000
Au1 Au 0.000 0.000 0.500
Cl1 Cl 0.000 0.000 0.239

---

No. 5
# SrYB (GGA-PBE, relaxed)
# Energy of formation from the pure elements: 0.00 eV per atom
# Spin magnetization: 0.0 μB per cell
data_SrYB
_chemical_formula_sum 'Sr2 Y2 B2'
_cell_length_a 3.300
_cell_length_b 3.749
_cell_length_c 13.204
_cell_angle_alpha 98.12
_cell_angle_beta 90.20
_cell_angle_gamma 90.03
_symmetry_space_group_name_H-M 'P 1'
_symmetry_Int_Tables_number 1
_symmetry_space_group_name_Hall 'P 1'
loop_
_atom_site_label
_atom_site_type_symbol
_atom_site_fract_x
_atom_site_fract_y
_atom_site_fract_z
Sr1 Sr 0.000 0.000 0.000
Sr2 Sr 0.488 0.643 0.281
Y1 Y 0.496 0.865 0.729
Y2 Y 0.993 0.260 0.517
B1 B 0.498 0.434 0.868
B2 B 0.998 0.418 0.835

---

No. 6
# BePOs2 (GGA-PBE, relaxed)
# Energy of formation from the pure elements: 0.45 eV per atom
# Spin magnetization: 0.0 μB per cell
data_BePOs2
_chemical_formula_sum 'Be4 P4 Os8'
_cell_length_a 7.216
_cell_length_b 7.216
_cell_length_c 4.522
_cell_angle_alpha 90.00
_cell_angle_beta 90.00
_cell_angle_gamma 90.00
_symmetry_space_group_name_H-M 'I -4 2 d'
_symmetry_Int_Tables_number 122
_symmetry_space_group_name_Hall 'I -4 2bw'
loop_
_atom_site_label
_atom_site_type_symbol
_atom_site_fract_x
_atom_site_fract_y
_atom_site_fract_z
Be1 Be 0.000 0.000 0.000
P1 P 0.000 0.000 0.500
Os1 Os 0.163 0.250 0.625

---

No. 7
# SmDyErTm2 (GGA-PBE, relaxed)
# Energy of formation from the pure elements: 0.39 eV per atom
# Spin magnetization: 0.0 μB per cell
data_SmDyErTm2
_chemical_formula_sum 'Sm4 Dy4 Er4 Tm8'
_cell_length_a 8.314
_cell_length_b 11.355
_cell_length_c 7.155
_cell_angle_alpha 90.00
_cell_angle_beta 90.00
_cell_angle_gamma 90.00
_symmetry_space_group_name_H-M 'C m c m'
_symmetry_Int_Tables_number 63
_symmetry_space_group_name_Hall '-C 2c 2'
loop_
_atom_site_label
_atom_site_type_symbol
_atom_site_fract_x
_atom_site_fract_y
_atom_site_fract_z
Sm1 Sm 0.000 0.227 0.250
Dy1 Dy 0.000 0.500 0.250
Er1 Er 0.000 0.221 0.750
Tm1 Tm 0.189 0.000 0.000

---

No. 8
# ZnInBr3 (GGA-PBE, relaxed)
# Spin magnetization: 0.0 μB per cell
# Energy relative to the elements, uncorrected: -0.77 eV per atom
data_ZnInBr3
_chemical_formula_sum 'Zn4 In4 Br12'
_cell_length_a 8.845
_cell_length_b 7.707
_cell_length_c 13.497
_cell_angle_alpha 90.00
_cell_angle_beta 121.54
_cell_angle_gamma 90.00
_symmetry_space_group_name_H-M 'P 1 21/c 1'
_symmetry_Int_Tables_number 14
_symmetry_space_group_name_Hall '-P 2ybc'
loop_
_atom_site_label
_atom_site_type_symbol
_atom_site_fract_x
_atom_site_fract_y
_atom_site_fract_z
Zn1 Zn 0.041 0.180 0.082
In1 In 0.329 0.702 0.800
Br1 Br 0.075 0.119 0.912
Br2 Br 0.185 0.612 0.965
Br3 Br 0.328 0.198 0.256

---

Question: Number 8 is which compound?
Answer: ZnInBr3